(1)
The following is a DFT calculation (PBE) of an optimized crystal structure of Tm2AlNi3Ge4.

Summary:
The calculated total energy is -5.49 eV per atom. The symmetry is P-4m2.

a = 3.935 Å, b = 3.935 Å, c = 10.571 Å
α = 90.00°, β = 90.00°, γ = 90.00°
Positions (direct):
1 Tm 0.500 0.000 0.243
2 Tm 0.000 0.500 0.757
3 Al 0.500 0.500 0.500
4 Ni 0.000 0.000 0.500
5 Ni 0.500 0.000 0.868
6 Ni 0.000 0.500 0.132
7 Ge 0.500 0.500 0.000
8 Ge 0.000 0.000 0.000
9 Ge 0.500 0.000 0.649
10 Ge 0.000 0.500 0.351

(2)
The following is a DFT calculation (PBE) of an optimized crystal structure of TaMn2CrGe.

Summary:
The calculated total energy is -7.94 eV per atom. The symmetry is P4/mmm.

a = 4.229 Å, b = 4.751 Å, c = 4.229 Å
α = 90.00°, β = 90.00°, γ = 90.00°
Last column: magnetic moment on the atom in μB.
Positions (direct):
1 Cr 0.000 0.000 0.000  -1.10
2 Ge 0.500 0.500 0.500  -0.04
3 Mn 0.000 0.000 0.500  2.47
4 Mn 0.500 0.000 0.000  2.48
5 Ta 0.000 0.500 0.000  -0.09

(3)
The following is a DFT calculation (PBE) of an optimized crystal structure of CaTb3Y6Ho2.

Summary:
The calculated total energy is -5.26 eV per atom. The symmetry is C2/m.

a = 6.207 Å, b = 6.207 Å, c = 11.863 Å
α = 95.00°, β = 95.00°, γ = 119.98°
Positions (direct):
1 Ca 0.000 0.000 0.000
2 Tb 0.166 0.834 0.500
3 Tb 0.834 0.166 0.500
4 Tb 0.500 0.500 0.500
5 Y 0.915 0.576 0.748
6 Y 0.746 0.746 0.253
7 Y 0.085 0.424 0.252
8 Y 0.576 0.915 0.748
9 Y 0.254 0.254 0.747
10 Y 0.424 0.085 0.252
11 Ho 0.333 0.667 0.000
12 Ho 0.667 0.333 0.000

(4)
The following is a DFT calculation (PBE) of an optimized crystal structure of MgSc2PbC.

Summary:
The calculated total energy is -5.91 eV per atom. The symmetry is P4/mmm.

a = 4.588 Å, b = 4.588 Å, c = 4.434 Å
α = 90.00°, β = 90.00°, γ = 90.00°
Positions (direct):
1 Pb 0.500 0.500 0.500
2 Sc 0.000 0.500 0.000
3 Sc 0.500 0.000 0.000
4 Mg 0.000 0.000 0.500
5 C 0.000 0.000 0.000

(5)
The following is a DFT calculation (PBE) of an optimized crystal structure of In12SnPb7.

Summary:
The calculated total energy is -3.04 eV per atom. The symmetry is R-3.

a = 6.436 Å, b = 10.663 Å, c = 10.663 Å
α = 63.94°, β = 78.39°, γ = 101.61°
Positions (direct):
1 In 0.722 0.535 0.048
2 In 0.230 0.952 0.583
3 In 0.298 0.245 0.273
4 In 0.429 0.727 0.518
5 In 0.813 0.583 0.465
6 In 0.947 0.518 0.755
7 In 0.053 0.482 0.245
8 In 0.187 0.417 0.535
9 In 0.571 0.273 0.482
10 In 0.702 0.755 0.727
11 In 0.770 0.048 0.417
12 In 0.278 0.465 0.952
13 Sn 0.000 0.000 0.000
14 Pb 0.778 0.221 0.088
15 Pb 0.134 0.912 0.309
16 Pb 0.444 0.309 0.779
17 Pb 0.500 0.000 0.000
18 Pb 0.556 0.691 0.221
19 Pb 0.866 0.088 0.691
20 Pb 0.222 0.779 0.912

(6)
The following is a DFT calculation (PBE) of an optimized crystal structure of LaTbNd6Dy2.

Summary:
The calculated total energy is -4.62 eV per atom. The symmetry is C2/c.

a = 9.816 Å, b = 8.989 Å, c = 8.989 Å
α = 117.66°, β = 94.22°, γ = 94.22°
Positions (direct):
1 La 0.250 0.406 0.594
2 La 0.750 0.594 0.406
3 Tb 0.250 0.971 0.029
4 Tb 0.750 0.029 0.971
5 Nd 0.055 0.111 0.759
6 Nd 0.445 0.241 0.889
7 Nd 0.945 0.889 0.241
8 Nd 0.555 0.759 0.111
9 Nd 0.318 0.981 0.432
10 Nd 0.182 0.568 0.019
11 Nd 0.682 0.019 0.568
12 Nd 0.818 0.432 0.981
13 Nd 0.121 0.705 0.491
14 Nd 0.379 0.509 0.295
15 Nd 0.879 0.295 0.509
16 Nd 0.621 0.491 0.705
17 Dy 0.454 0.806 0.709
18 Dy 0.046 0.291 0.194
19 Dy 0.546 0.194 0.291
20 Dy 0.954 0.709 0.806

(7)
The following is a DFT calculation (PBE) of an optimized crystal structure of CeSm2PaP4.

Summary:
The calculated total energy is -7.31 eV per atom. The symmetry is P2/m.

a = 4.062 Å, b = 7.039 Å, c = 7.026 Å
α = 109.44°, β = 90.00°, γ = 90.00°
Last column: magnetic moment on the atom in μB.
Positions (direct):
1 Ce 0.000 0.000 0.000  0.37
2 Sm 0.500 0.000 0.500  0.00
3 Sm 0.000 0.500 0.500  0.01
4 Pa 0.500 0.500 0.000  0.04
5 P 0.500 0.254 0.242  -0.01
6 P 0.500 0.746 0.758  -0.01
7 P 0.000 0.259 0.760  0.00
8 P 0.000 0.741 0.240  0.00

(8)
The following is a DFT calculation (PBE) of an optimized crystal structure of CrInCl2.

Summary:
The symmetry is Fm-3m. The calculation puts the energy above the most stable polymorph in this dataset at 324 meV per atom. The uncorrected formation energy is -209 meV/atom.

a = 5.115 Å, b = 5.115 Å, c = 5.115 Å
α = 60.00°, β = 60.00°, γ = 60.00°
Last column: magnetic moment on the atom in μB.
Positions (direct):
1 Cr 0.000 0.000 0.000  4.30
2 Cl 0.250 0.250 0.250  0.01
3 Cl 0.750 0.750 0.750  0.01
4 In 0.500 0.500 0.500  0.04

(9)
The following is a DFT calculation (PBE) of an optimized crystal structure of KDyTe.

Summary:
The symmetry is P4/nmm. The uncorrected formation energy is -756 meV/atom.

a = 4.728 Å, b = 4.728 Å, c = 9.431 Å
α = 90.00°, β = 90.00°, γ = 90.00°
Last column: magnetic moment on the atom in μB.
Positions (direct):
1 K 0.000 0.500 0.860  0.01
2 K 0.500 0.000 0.140  0.01
3 Te 0.000 0.500 0.264  0.01
4 Te 0.500 0.000 0.736  0.01
5 Dy 0.500 0.500 0.500  0.66
6 Dy 0.000 0.000 0.500  0.66

(10)
The following is a DFT calculation (PBE) of an optimized crystal structure of AlCN2O.

Summary:
The symmetry is P4/mmm. The uncorrected formation energy is 1024 meV/atom.

a = 2.920 Å, b = 2.920 Å, c = 5.689 Å
α = 90.00°, β = 90.00°, γ = 90.00°
Positions (direct):
1 C 0.000 0.000 0.000
2 Al 0.500 0.500 0.500
3 O 0.000 0.000 0.500
4 N 0.000 0.500 0.000
5 N 0.500 0.000 0.000

(11)
The following is a DFT calculation (PBE) of an optimized crystal structure of KScCu2.

Summary:
The symmetry is C2/m. The calculation puts the energy above the most stable polymorph in this dataset at 130 meV per atom.

a = 4.516 Å, b = 4.516 Å, c = 6.789 Å
α = 70.68°, β = 70.68°, γ = 59.91°
Positions (direct):
1 Cu 0.067 0.067 0.797
2 Cu 0.433 0.433 0.703
3 K 0.250 0.250 0.250
4 Sc 0.750 0.750 0.750

no.,N(E_F) (states/eV per atom)
1,0.388
2,0.737
3,1.661
4,0.159
5,0.504
6,1.491
7,1.047
8,0.000
9,0.864
10,0.350
11,0.751